(1)
# Li2HgH, relaxed, DFT PBE-GGA
# Energy relative to the lowest polymorph listed for this composition ... 0.108 eV per atom
# Raw total energy ... -2.03 eV per atom
# Magnetic moment ... 0.000 μB per atom
data_Li2HgH
_space_group_name_H-M_alt 'P 4/m m m'
_space_group_IT_number 123
_space_group_name_Hall '-P 4 2'
_cell_length_a 2.891
_cell_length_b 2.891
_cell_length_c 6.978
_cell_angle_alpha 90.00
_cell_angle_beta 90.00
_cell_angle_gamma 90.00
loop_
_atom_site_label
_atom_site_fract_x
_atom_site_fract_y
_atom_site_fract_z
_atom_site_occupancy
Li1 0.000 0.000 0.185 1
Hg1 0.500 0.500 0.500 1
H1 0.500 0.500 0.000 1


(2)
# RbRe2AsCl, relaxed, DFT PBE-GGA
# Raw total energy ... -4.75 eV per atom
# Magnetic moment ... 0.000 μB per atom
# Uncorrected formation energy ... 1.72 eV/atom
data_RbRe2AsCl
_space_group_name_H-M_alt 'P 4/m m m'
_space_group_IT_number 123
_space_group_name_Hall '-P 4 2'
_cell_length_a 4.447
_cell_length_b 4.447
_cell_length_c 5.599
_cell_angle_alpha 90.00
_cell_angle_beta 90.00
_cell_angle_gamma 90.00
loop_
_atom_site_label
_atom_site_fract_x
_atom_site_fract_y
_atom_site_fract_z
_atom_site_occupancy
Rb1 0.000 0.000 0.000 1
Re1 0.000 0.500 0.500 1
As1 0.500 0.500 0.000 1
Cl1 0.000 0.000 0.500 1


Which of these has the highest raw total energy? Li2HgH